## HfZn2Tc (GGA-PBE)

Data for a relaxed HfZn2Tc crystal.

Output
DOS(E_F) in states/eV per atom: 0.467
Total moment in μB/atom: 0.000
Uncorrected energy in eV/cell: -23.56
E_form in eV/atom: -0.173
Energy above the lowest structure with this stoichiometry in meV/atom: 0

Lattice parameters (Å, degrees): 4.3073 3.8455 3.8455 90.00 90.00 90.00
Atoms (fractional coordinates):
1 Zn 0.0000 0.0000 0.5000
2 Zn 0.0000 0.5000 0.0000
3 Hf 0.5000 0.0000 0.0000
4 Tc 0.5000 0.5000 0.5000

## HfZn2Tc (GGA-PBE)

Data for a relaxed HfZn2Tc crystal.

Output
DOS(E_F) in states/eV per atom: 0.845
Total moment in μB/atom: 0.000
Uncorrected energy in eV/cell: -22.96
E_form in eV/atom: -0.024
Energy above the lowest structure with this stoichiometry in meV/atom: 149

Lattice parameters (Å, degrees): 4.4698 4.4698 4.4698 60.00 60.00 60.00
Atoms (fractional coordinates):
1 Zn 0.2500 0.2500 0.2500
2 Zn 0.7500 0.7500 0.7500
3 Hf 0.5000 0.5000 0.5000
4 Tc 0.0000 0.0000 0.0000

## Hf3Zn2Tc (GGA-PBE)

Data for a relaxed Hf3Zn2Tc crystal.

Output
DOS(E_F) in states/eV per atom: 0.689
Total moment in μB/atom: 0.000
Uncorrected energy in eV/cell: -44.72
E_form in eV/atom: -0.324

Lattice parameters (Å, degrees): 4.6547 4.6547 5.7144 90.00 90.00 120.00
Atoms (fractional coordinates):
1 Hf 0.0000 0.0000 0.5000
2 Hf 0.6667 0.3333 0.8325
3 Hf 0.3333 0.6667 0.1675
4 Zn 0.6667 0.3333 0.3253
5 Zn 0.3333 0.6667 0.6747
6 Tc 0.0000 0.0000 0.0000

## HfZn2Tc2 (GGA-PBE)

Data for a relaxed HfZn2Tc2 crystal.

Output
DOS(E_F) in states/eV per atom: 0.686
Total moment in μB/atom: 0.000
Uncorrected energy in eV/cell: -66.67
E_form in eV/atom: -0.020
Energy above the lowest structure with this stoichiometry in meV/atom: 0

Lattice parameters (Å, degrees): 6.8137 6.8137 3.3579 90.00 90.00 90.00
Atoms (fractional coordinates):
1 Zn 0.3780 0.8780 0.0000
2 Zn 0.8780 0.6220 0.0000
3 Zn 0.6220 0.1220 0.0000
4 Zn 0.1220 0.3780 0.0000
5 Hf 0.0000 0.0000 0.0000
6 Hf 0.5000 0.5000 0.0000
7 Tc 0.1772 0.6772 0.5000
8 Tc 0.6772 0.8228 0.5000
9 Tc 0.8228 0.3228 0.5000
10 Tc 0.3228 0.1772 0.5000

## Hf5Zn4Tc (GGA-PBE)

Data for a relaxed Hf5Zn4Tc crystal.

Output
DOS(E_F) in states/eV per atom: 0.339
Total moment in μB/atom: 0.000
Uncorrected energy in eV/cell: -68.17
E_form in eV/atom: -0.294

Lattice parameters (Å, degrees): 3.3182 3.3182 16.3133 90.00 90.00 90.00
Atoms (fractional coordinates):
1 Hf 0.5000 0.5000 0.0951
2 Hf 0.5000 0.5000 0.2987
3 Hf 0.5000 0.5000 0.5000
4 Hf 0.5000 0.5000 0.7013
5 Hf 0.5000 0.5000 0.9049
6 Zn 0.0000 0.0000 0.1989
7 Zn 0.0000 0.0000 0.4000
8 Zn 0.0000 0.0000 0.6000
9 Zn 0.0000 0.0000 0.8011
10 Tc 0.0000 0.0000 0.0000

## Hf4ZnTc (GGA-PBE)

Data for a relaxed Hf4ZnTc crystal.

Output
DOS(E_F) in states/eV per atom: 0.894
Total moment in μB/atom: 0.000
Uncorrected energy in eV/cell: -52.89
E_form in eV/atom: -0.239
Energy above the lowest structure with this stoichiometry in meV/atom: 0

Lattice parameters (Å, degrees): 3.2704 3.2704 10.8594 90.00 90.00 90.00
Atoms (fractional coordinates):
1 Hf 0.4999 0.4999 0.8535
2 Hf 0.5001 0.5001 0.1465
3 Hf 0.9999 0.9999 0.6636
4 Hf 0.0001 0.0001 0.3364
5 Zn 0.5000 0.5000 0.5000
6 Tc 0.0000 0.0000 0.0000

## Hf3ZnTc (GGA-PBE)

Data for a relaxed Hf3ZnTc crystal.

Output
DOS(E_F) in states/eV per atom: 1.769
Total moment in μB/atom: 0.000
Uncorrected energy in eV/cell: -38.60
E_form in eV/atom: 0.579
Energy above the lowest structure with this stoichiometry in meV/atom: 0

Lattice parameters (Å, degrees): 4.9738 4.9738 4.9738 90.00 90.00 90.00
Atoms (fractional coordinates):
1 Zn 0.5000 0.5000 0.5000
2 Hf 0.0000 0.5000 0.0000
3 Hf 0.0000 0.0000 0.5000
4 Hf 0.5000 0.0000 0.0000
5 Tc 0.0000 0.0000 0.0000

## Hf2ZnTc (GGA-PBE)

Data for a relaxed Hf2ZnTc crystal.

Output
DOS(E_F) in states/eV per atom: 0.814
Total moment in μB/atom: 0.000
Uncorrected energy in eV/cell: -61.07
E_form in eV/atom: 0.253

Lattice parameters (Å, degrees): 7.3808 7.3808 5.9317 51.53 51.53 90.00
Atoms (fractional coordinates):
1 Zn 0.5000 0.5000 0.0000
2 Zn 0.2500 0.7500 0.5000
3 Hf 0.6456 0.1250 0.2500
4 Hf 0.1044 0.6250 0.2500
5 Hf 0.3750 0.3544 0.7500
6 Hf 0.8750 0.8956 0.7500
7 Tc 0.0000 0.0000 0.0000
8 Tc 0.7500 0.2500 0.5000